Compound: Sb2Pd8Pb
Source: the Alexandria database
Functional: PBE-GGA
Structure: relaxed

abc: 7.1200 7.1200 4.7723
angles: 102.64 102.64 115.51
With the nearest neighbours (Å) after each atom.
Element x y z (fractional)
Sb1 0.1856 0.8144 0.0000  8 Pd 2.61-2.73
Sb2 0.8144 0.1856 0.0000  8 Pd 2.61-2.73
Pd1 0.1072 0.1072 0.3297  2 Sb 2.66, 4 Pd 2.73-2.89, 1 Pb 2.75
Pd2 0.1773 0.4174 0.8905  2 Sb 2.64-2.73, 4 Pd 2.82-2.93
Pd3 0.2740 0.7260 0.5000  2 Sb 2.61, 1 Pb 2.72
Pd4 0.4174 0.1773 0.8905  2 Sb 2.64-2.73, 4 Pd 2.82-2.93
Pd5 0.5826 0.8227 0.1095  2 Sb 2.64-2.73, 4 Pd 2.82-2.93
Pd6 0.7260 0.2740 0.5000  2 Sb 2.61, 1 Pb 2.72
Pd7 0.8227 0.5826 0.1095  2 Sb 2.64-2.73, 4 Pd 2.82-2.93
Pd8 0.8928 0.8928 0.6703  2 Sb 2.66, 4 Pd 2.73-2.89, 1 Pb 2.75
Pb1 0.5000 0.5000 0.5000  8 Pd 2.72-3.04

Properties
Total moment, Bohr magnetons per cell: 0.00
Energy, eV/atom: -5.15
D(E_F), states/eV per cell: 4.068
E_form (uncorrected), eV/atom: -0.286
Energy above the lowest structure with this stoichiometry, eV per atom: 0.080